No. 1
# Zn2WSe GGA-PBE optimized geometry
# Energy relative to the elements, uncorrected = 279 meV/atom
data_Zn2WSe
_chemical_formula_sum 'Zn2 W1 Se1'
_cell_length_a 4.741
_cell_length_b 4.741
_cell_length_c 4.872
_cell_angle_alpha 83.20
_cell_angle_beta 83.20
_cell_angle_gamma 37.24
_space_group_name_H-M_alt 'P 1'
_space_group_IT_number 1
loop_
_space_group_symop_operation_xyz
'x,y,z'
loop_
_atom_site_label
_atom_site_fract_x
_atom_site_fract_y
_atom_site_fract_z
Se1 0.523 0.523 0.441
W1 0.248 0.248 0.277
Zn1 0.988 0.988 0.994
Zn2 0.741 0.741 0.788

---

No. 2
# MnTl2Cd GGA-PBE optimized geometry
# Polymorph energy (0 for the lowest one) = 0.10 eV per formula unit
# Formation energy = 0.292 eV per atom
data_MnTl2Cd
_chemical_formula_sum 'Mn1 Tl2 Cd1'
_cell_length_a 7.002
_cell_length_b 7.002
_cell_length_c 4.883
_cell_angle_alpha 69.44
_cell_angle_beta 69.44
_cell_angle_gamma 26.14
_space_group_name_H-M_alt 'P 1'
_space_group_IT_number 1
loop_
_space_group_symop_operation_xyz
'x,y,z'
loop_
_atom_site_label
_atom_site_fract_x
_atom_site_fract_y
_atom_site_fract_z
Cd1 0.558 0.558 0.442
Mn1 0.247 0.247 0.252
Tl1 0.949 0.949 0.051
Tl2 0.746 0.746 0.754

---

No. 3
# ZrIr2Ru GGA-PBE optimized geometry
# Polymorph energy (0 for the lowest one) = 1.36 eV per formula unit
# Formation energy = -0.190 eV per atom
data_ZrIr2Ru
_chemical_formula_sum 'Zr1 Ir2 Ru1'
_cell_length_a 3.397
_cell_length_b 3.397
_cell_length_c 5.682
_cell_angle_alpha 90.00
_cell_angle_beta 90.00
_cell_angle_gamma 90.00
_space_group_name_H-M_alt 'P 1'
_space_group_IT_number 1
loop_
_space_group_symop_operation_xyz
'x,y,z'
loop_
_atom_site_label
_atom_site_fract_x
_atom_site_fract_y
_atom_site_fract_z
Ir1 0.000 0.000 0.018
Ir2 0.000 0.000 0.482
Ru1 0.500 0.500 0.250
Zr1 0.500 0.500 0.750

---

No. 4
# PmNd2Dy3Se6 GGA-PBE optimized geometry
# Energy relative to the elements, uncorrected = -1797 meV/atom
data_PmNd2Dy3Se6
_chemical_formula_sum 'Pm1 Nd2 Dy3 Se6'
_cell_length_a 4.111
_cell_length_b 8.381
_cell_length_c 9.308
_cell_angle_alpha 104.22
_cell_angle_beta 102.76
_cell_angle_gamma 90.00
_space_group_name_H-M_alt 'P 1'
_space_group_IT_number 1
loop_
_space_group_symop_operation_xyz
'x,y,z'
loop_
_atom_site_label
_atom_site_fract_x
_atom_site_fract_y
_atom_site_fract_z
Pm1 0.500 0.000 0.000
Nd1 0.833 0.667 0.666
Nd2 0.167 0.333 0.334
Dy1 0.500 0.500 0.000
Dy2 0.833 0.167 0.666
Dy3 0.167 0.833 0.334
Se1 0.331 0.926 0.662
Se2 0.663 0.591 0.327
Se3 0.669 0.074 0.338
Se4 0.997 0.256 0.993
Se5 0.003 0.744 0.007
Se6 0.337 0.409 0.673

---

no.,DOS at the Fermi energy (states/eV/atom)
1,0.38
2,0.62
3,1.10
4,0.44